# Lu2ThGa

A relaxed structure of Lu2ThGa (PBE, the Alexandria database).

Lattice parameters (Å, degrees): 3.472 3.472 8.669 90.00 90.00 90.00
Space group P4/mmm (No. 123)
Symmetry-distinct sites (fractional):
Lu: 0.000 0.000 0.212 [2 per cell]
Th: 0.500 0.500 0.500 [1 per cell]
Ga: 0.500 0.500 0.000 [1 per cell]

Density, g/cm³: 10.36
Energy relative to the elements, eV per atom: -0.28